[1]
VASP calculation (PBE) on a relaxed Er4AlAg2 crystal.

Output
As for the total energy: -4.1134 eV/atom. For the formation energy, the calculation gives -15.1 kJ per mole of atoms. Its energy above the most stable polymorph in this dataset is 0.035 eV per atom.

Lattice parameters (Å, degrees): 9.033 9.033 8.845 90.00 90.00 90.00
Space group I-42d (No. 122)
One atom of each set of equivalent atoms:
Er  0.069  0.178  0.302 x16
Al  0.000  0.000  0.000 x4
Ag  0.124  0.250  0.625 x8

[2]
VASP calculation (PBE) on a relaxed ErAl2Ag4 crystal.

Output
As for the total energy: -3.5715 eV/atom. For the formation energy, the calculation gives -21.3 kJ per mole of atoms.

Lattice parameters (Å, degrees): 6.951 6.951 5.388 90.00 90.00 90.00
Space group I4/mmm (No. 139)
One atom of each set of equivalent atoms:
Er  0.000  0.000  0.000 x2
Al  0.000  0.500  0.250 x4
Ag  0.199  0.199  0.500 x8

What did the second record say?
VASP calculation (PBE) on a relaxed ErAl2Ag4 crystal.

Output
As for the total energy: -3.5715 eV/atom. For the formation energy, the calculation gives -21.3 kJ per mole of atoms.

Lattice parameters (Å, degrees): 6.951 6.951 5.388 90.00 90.00 90.00
Space group I4/mmm (No. 139)
One atom of each set of equivalent atoms:
Er  0.000  0.000  0.000 x2
Al  0.000  0.500  0.250 x4
Ag  0.199  0.199  0.500 x8